# MgGa2AgHg | the Alexandria database | SCAN | PBEsol geometry
# Uncorrected energy ... -27.268 eV/atom
# ρ ... 6.51 g/cm3
# Space-group type ... P4/mmm (123)
# D(E_F) ... 1.38 states/eV/f.u.
data_MgGa2AgHg
_chemical_formula_sum 'Mg1 Ga2 Ag1 Hg1'
_cell_length_a 4.836
_cell_length_b 4.836
_cell_length_c 5.148
_cell_angle_alpha 90.00
_cell_angle_beta 90.00
_cell_angle_gamma 90.00
_space_group_name_H-M_alt 'P 1'
_space_group_IT_number 1
loop_
_space_group_symop_operation_xyz
'x,y,z'
loop_
_atom_site_label
_atom_site_type_symbol
_atom_site_fract_x
_atom_site_fract_y
_atom_site_fract_z
Mg1 Mg 0.000 0.000 0.500
Ga1 Ga 0.000 0.500 0.000
Ga2 Ga 0.500 0.000 0.000
Hg1 Hg 0.500 0.500 0.500
Ag1 Ag 0.000 0.000 0.000